Computed, not measured: a geometry-optimized LiFe3Si2O8 structure at the PBE+U level of DFT.

Structure (POSCAR):
```
LiFe3Si2O8
1.0
5.107 0.016 0.004
0.020 8.932 0.018
-2.466 -4.246 12.550
Li Fe Si O
3 9 6 24
direct
0.661 0.860 0.298
0.515 0.255 0.133
0.296 0.984 0.646
0.004 0.020 0.009
0.757 0.736 0.517
0.790 0.263 0.817
0.702 0.524 0.658
0.093 0.755 0.162
0.398 0.494 0.958
0.284 0.743 0.800
0.117 0.165 0.462
0.052 0.439 0.315
0.967 0.385 0.066
0.526 0.862 0.059
0.799 0.896 0.751
0.586 0.343 0.407
0.204 0.807 0.404
0.238 0.368 0.714
0.009 0.652 0.401
0.894 0.296 0.381
0.992 0.949 0.403
0.853 0.405 0.177
0.987 0.856 0.660
0.663 0.020 0.045
0.711 0.808 0.153
0.621 0.510 0.503
0.459 0.200 0.437
0.706 0.356 0.970
0.590 0.745 0.727
0.397 0.365 0.299
0.564 0.395 0.736
0.624 0.050 0.760
0.428 0.857 0.512
0.332 0.763 0.298
0.235 0.919 0.096
0.149 0.228 0.046
0.158 0.534 0.072
0.454 0.715 0.947
0.131 0.212 0.609
0.159 0.342 0.821
0.108 0.528 0.696
0.016 0.910 0.864
```

* space-group type: No. 1
* magnetization: 13.0 μB per formula unit
* calculated total energy: -7.028 eV per atom